Mg3TaI: optimized geometry, PBE.

Its energy above the most stable polymorph in this dataset is 0.358 eV/atom. The value obtained for the uncorrected energy is -2.2042 eV/atom. Its crystal system is cubic. For the energy relative to the elements, uncorrected, the calculation gives 1.433 eV/atom.

It has space group Pm-3m (No. 221), with a = 5.3503 Å, b = 5.3503 Å, c = 5.3503 Å, α = 90.00°, β = 90.00° and γ = 90.00°. Symmetry generates all atoms from Mg at (0.0000, 0.0000, 0.5000), Ta at (0.5000, 0.5000, 0.5000) and I at (0.0000, 0.0000, 0.0000).